## Rb3CdF6 (PBE-GGA)

Data for a relaxed structure of Rb3CdF6.

```
20
Lattice="-3.073 -7.008 -1.173 0.125 -1.054 7.669 -6.996 3.301 0.308" Properties=species:S:1:pos:R:3 pbc="T T T"
Rb -6.446 -1.596 6.907
Rb -5.852 -5.913 4.755
Rb -1.146 -2.168 4.031
Rb -8.797 -2.594 2.772
Rb -4.092 1.151 2.049
Rb -3.497 -3.166 -0.103
Cd 0.000 0.000 0.000
Cd -4.972 -2.381 3.402
F -1.176 -2.649 6.896
F -5.193 0.993 7.307
F -4.849 -3.344 5.374
F -3.212 -7.104 4.534
F -6.714 -1.247 4.115
F -3.609 -0.781 4.047
F -6.334 -3.980 2.757
F -3.229 -3.515 2.689
F -6.732 2.342 2.269
F -5.095 -1.418 1.430
F -4.751 -5.755 -0.503
F -8.767 -2.113 -0.092
```

Summary:
The uncorrected formation energy is -2.32 eV/atom. The total magnetic moment is 1.0 μB per formula unit. The density is 3.5 Mg/m³. For the total energy, the calculation gives -3.8296 eV/atom. Its energy above the lowest structure with this stoichiometry is 6 meV/atom. For the density of states at the Fermi level, the calculation gives 0.623 states/eV/atom.

=====

## Rb3CdF4 (PBE-GGA)

Data for a relaxed structure of Rb3CdF4.

```
8
Lattice="6.043 0.000 0.000 -2.014 5.697 0.000 -2.014 -2.848 4.934" Properties=species:S:1:pos:R:3 pbc="T T T"
Rb 2.014 2.848 0.000
Rb -2.014 1.424 2.467
Rb 2.014 -1.424 2.467
Cd 0.000 0.000 0.000
F 3.565 0.000 0.000
F -1.188 -1.681 2.911
F 0.826 1.168 2.023
F -1.188 3.362 0.000
```

Summary:
The uncorrected formation energy is -2.17 eV/atom. The total magnetic moment is 0.0 μB per formula unit. The density is 4.3 Mg/m³. For the total energy, the calculation gives -3.5795 eV/atom. For the density of states at the Fermi level, the calculation gives 0.306 states/eV/atom.

=====

## RbCd2F6 (PBE-GGA)

Data for a relaxed structure of RbCd2F6.

```
9
Lattice="5.907 0.000 0.000 0.000 5.192 -2.998 0.000 0.000 5.996" Properties=species:S:1:pos:R:3 pbc="T T T"
Rb 0.000 0.000 0.000
Cd 2.954 3.462 0.000
Cd 2.954 1.731 2.998
F 4.142 3.223 1.861
F 1.765 3.223 4.135
F 1.765 5.192 0.723
F 4.142 1.970 -1.137
F 1.765 1.970 1.137
F 4.142 0.000 2.275
```

Summary:
The uncorrected formation energy is -2.07 eV/atom. The total magnetic moment is 1.1 μB per formula unit. The density is 3.8 Mg/m³. For the total energy, the calculation gives -3.6318 eV/atom. For the density of states at the Fermi level, the calculation gives 0.783 states/eV/atom.

=====

## Rb2CdF7 (PBE-GGA)

Data for a relaxed structure of Rb2CdF7.

```
10
Lattice="6.001 0.000 0.000 0.000 6.001 0.000 3.001 3.001 4.860" Properties=species:S:1:pos:R:3 pbc="T T T"
F 3.001 3.001 0.000
F 3.001 3.001 2.781
F 6.001 6.001 2.080
F 1.524 1.524 0.000
F 4.477 4.477 0.000
F 4.477 1.524 0.000
F 1.524 4.477 0.000
Rb 6.001 3.001 2.430
Rb 3.001 6.001 2.430
Cd 0.000 0.000 0.000
```

Summary:
The uncorrected formation energy is -1.69 eV/atom. The total magnetic moment is 1.0 μB per formula unit. The density is 3.9 Mg/m³. For the total energy, the calculation gives -3.2891 eV/atom. For the density of states at the Fermi level, the calculation gives 0.399 states/eV/atom.